This record from Alexandria via LeMat-Bulk describes a relaxed VNiO2 crystal. The functional is PBE+U.

Values from the calculation:
Calculated total energy in eV per atom: -6.128

a = 4.813 Å, b = 4.813 Å, c = 5.523 Å
α = 64.17°, β = 64.17°, γ = 90.00°
Site moments in Bohr magnetons follow the coordinates.
Fractional coordinates of all 8 atoms:
O: 0.375 0.405 0.750  -0.01
O: 0.595 0.125 0.250  -0.01
O: 0.875 0.845 0.750  -0.01
O: 0.155 0.625 0.250  -0.01
V: 0.250 0.750 0.500  1.94
V: 0.500 0.500 0.000  1.94
Ni: 0.750 0.250 0.500  0.99
Ni: 0.000 0.000 0.000  0.99